1.
Entry from Alexandria: YCuPbCl6 after structural relaxation (GGA-PBE).

The calculation puts the electronic total energy at -4.2616 eV/atom. The value obtained for the energy relative to the elements, uncorrected is -1.45 eV per atom. The value obtained for the spin magnetization is 0.22 Bohr magnetons per cell.

It has space group P-31c (No. 163), with a = 6.6578 Å, b = 6.6578 Å, c = 12.9056 Å, α = 90.00°, β = 90.00° and γ = 120.00°. The distinct sites, in fractional coordinates, are Y at (0.3333, 0.6667, 0.2500), Cu at (0.3333, 0.6667, 0.7500), Pb at (0.0000, 0.0000, 0.0000) and Cl at (0.0113, 0.3617, 0.6347).

***

2.
Entry from Alexandria: ZnCuPbCl2 after structural relaxation (GGA-PBE).

The calculation puts the electronic total energy at -2.6517 eV/atom. The value obtained for the energy relative to the elements, uncorrected is -0.10 eV per atom. The value obtained for the spin magnetization is 0.00 Bohr magnetons per cell.

It has space group P4/mmm (No. 123), with a = 4.617 Å, b = 4.617 Å, c = 5.860 Å, α = 90.00°, β = 90.00° and γ = 90.00°. The distinct sites, in fractional coordinates, are Zn at (0.000, 0.000, 0.000), Cu at (0.500, 0.500, 0.500), Pb at (0.500, 0.500, 0.000) and Cl at (0.000, 0.500, 0.500).